Entry 1:
# BeZn2Br

An optimized crystal structure of BeZn2Br (PBE, Alexandria via LeMat-Bulk).

Cell and atoms, written as POSCAR:
```
BeZn2Br
1.0
4.184 -0.012 -0.138
2.104 3.616 -0.138
-1.820 -1.044 5.823
Zn Br Be
2 1 1
direct
0.398 0.398 0.693
0.102 0.102 0.807
0.250 0.250 0.250
0.750 0.750 0.750
```

Values from the calculation:
Its formation energy without anion corrections is 0.2 eV/f.u. The calculation puts the volume at 87 Å³/cell. The excess energy over the best structure of this formula in the dataset comes out at 113 meV/atom. As for the uncorrected energy: -1.9489 eV/atom. The total magnetization comes out at 0.000 μB/atom.

=====

Entry 2:
# Be2ZnBr

An optimized crystal structure of Be2ZnBr (PBE, Alexandria via LeMat-Bulk).

Cell and atoms, written as POSCAR:
```
Be2ZnBr
1.0
-0.605 -5.670 -3.144
0.240 -6.337 1.476
-2.151 6.015 1.262
Zn Be Br
1 2 1
direct
0.750 0.250 0.500
0.000 0.000 0.000
0.250 0.750 0.500
0.500 0.500 0.000
```

Values from the calculation:
Its formation energy without anion corrections is 2.9 eV/f.u. The calculation puts the volume at 68 Å³/cell. The excess energy over the best structure of this formula in the dataset comes out at 678 meV/atom. As for the uncorrected energy: -1.8834 eV/atom. The total magnetization comes out at 0.000 μB/atom.

=====

Entry 3:
# BeZn2Br

An optimized crystal structure of BeZn2Br (PBE, Alexandria via LeMat-Bulk).

Cell and atoms, written as POSCAR:
```
BeZn2Br
1.0
3.079 0.000 0.000
0.000 3.138 0.000
0.000 0.000 7.779
Br Be Zn
1 1 2
direct
0.500 0.500 0.660
0.000 0.000 0.477
0.000 0.000 0.082
0.500 0.500 0.281
```

Values from the calculation:
Its formation energy without anion corrections is 1.3 eV/f.u. The calculation puts the volume at 75 Å³/cell. The excess energy over the best structure of this formula in the dataset comes out at 394 meV/atom. As for the uncorrected energy: -1.6682 eV/atom. The total magnetization comes out at 0.000 μB/atom.

=====

Entry 4:
# Be2ZnBr

An optimized crystal structure of Be2ZnBr (PBE, Alexandria via LeMat-Bulk).

Cell and atoms, written as POSCAR:
```
Be2ZnBr
1.0
0.000 3.187 3.187
3.187 0.000 3.187
3.187 3.187 0.000
Be Zn Br
2 1 1
direct
0.250 0.250 0.250
0.750 0.750 0.750
0.000 0.000 0.000
0.500 0.500 0.500
```

Values from the calculation:
Its formation energy without anion corrections is 4.3 eV/f.u. The calculation puts the volume at 65 Å³/cell. The excess energy over the best structure of this formula in the dataset comes out at 1035 meV/atom. As for the uncorrected energy: -1.5269 eV/atom. The total magnetization comes out at 0.000 μB/atom.

=====

Entry 5:
# BeZn2Br

An optimized crystal structure of BeZn2Br (PBE, Alexandria via LeMat-Bulk).

Cell and atoms, written as POSCAR:
```
BeZn2Br
1.0
3.157 -0.969 3.536
-1.343 0.433 4.628
-0.568 -3.951 2.734
Be Zn Br
1 2 1
direct
0.000 0.000 0.000
0.250 0.250 0.250
0.750 0.750 0.750
0.500 0.500 0.500
```

Values from the calculation:
Its formation energy without anion corrections is 3.0 eV/f.u. The calculation puts the volume at 80 Å³/cell. The excess energy over the best structure of this formula in the dataset comes out at 835 meV/atom. As for the uncorrected energy: -1.2268 eV/atom. The total magnetization comes out at 0.000 μB/atom.

=====

Entry 6:
# Be2ZnBr

An optimized crystal structure of Be2ZnBr (PBE, Alexandria via LeMat-Bulk).

Cell and atoms, written as POSCAR:
```
Be2ZnBr
1.0
6.347 0.074 0.005
4.026 4.907 -0.005
-4.862 -3.166 2.574
Be Zn Br
2 1 1
direct
0.267 0.767 0.500
0.137 0.137 0.000
0.686 0.186 0.500
0.411 0.411 0.000
```

Values from the calculation:
Its formation energy without anion corrections is 1.7 eV/f.u. The calculation puts the volume at 79 Å³/cell. The excess energy over the best structure of this formula in the dataset comes out at 396 meV/atom. As for the uncorrected energy: -2.1654 eV/atom. The total magnetization comes out at 0.000 μB/atom.

=====

Entry 7:
# BeZn2Br

An optimized crystal structure of BeZn2Br (PBE, Alexandria via LeMat-Bulk).

Cell and atoms, written as POSCAR:
```
BeZn2Br
1.0
3.404 0.046 0.000
-1.856 2.854 0.000
0.000 0.000 8.434
Br Be Zn
1 1 2
direct
0.500 0.500 0.674
0.000 0.000 0.495
0.000 0.000 0.047
0.500 0.500 0.284
```

Values from the calculation:
Its formation energy without anion corrections is 0.9 eV/f.u. The calculation puts the volume at 83 Å³/cell. The excess energy over the best structure of this formula in the dataset comes out at 298 meV/atom. As for the uncorrected energy: -1.7638 eV/atom. The total magnetization comes out at 0.000 μB/atom.

=====

Entry 8:
# Be2ZnBr

An optimized crystal structure of Be2ZnBr (PBE, Alexandria via LeMat-Bulk).

Cell and atoms, written as POSCAR:
```
Be2ZnBr
1.0
4.598 0.051 0.000
-1.603 4.309 0.000
0.000 0.000 3.089
Br Zn Be
1 1 2
direct
0.500 0.000 0.500
0.000 0.500 0.500
0.500 0.500 0.000
0.000 0.000 0.000
```

Values from the calculation:
Its formation energy without anion corrections is 3.1 eV/f.u. The calculation puts the volume at 61 Å³/cell. The excess energy over the best structure of this formula in the dataset comes out at 738 meV/atom. As for the uncorrected energy: -1.8237 eV/atom. The total magnetization comes out at 0.000 μB/atom.